Record 1
! Be2HgBrF GGA-PBEsol relaxed; values from VASP
! E	-8.0	eV for the cell shown
! formation energy without anion corrections	0.8709	eV per atom
! M_tot	0.00	Bohr magnetons per cell
&SYSTEM
  ibrav = 0, nat = 5, ntyp = 4
/
ATOMIC_SPECIES
Be 9.01 Be.upf
Hg 200.59 Hg.upf
Br 79.90 Br.upf
F 19.00 F.upf
ATOMIC_POSITIONS angstrom
Be 0.000 2.218 0.000
Be 2.218 0.000 0.000
Hg 0.000 0.000 3.133
Br 0.000 0.000 0.000
F 2.218 2.218 3.133
CELL_PARAMETERS angstrom
4.436 0.000 0.000
0.000 4.436 0.000
0.000 0.000 6.266

***

Record 2
! BeSe2BrF GGA-PBEsol relaxed; values from VASP
! E	-12.9	eV for the cell shown
! formation energy without anion corrections	0.5281	eV per atom
! M_tot	0.00	Bohr magnetons per cell
&SYSTEM
  ibrav = 0, nat = 5, ntyp = 4
/
ATOMIC_SPECIES
Be 9.01 Be.upf
Se 78.96 Se.upf
Br 79.90 Br.upf
F 19.00 F.upf
ATOMIC_POSITIONS angstrom
Be 0.000 0.000 0.000
Se 0.000 2.098 2.949
Se 2.098 0.000 2.949
Br 2.098 2.098 0.000
F 2.098 2.098 2.949
CELL_PARAMETERS angstrom
4.195 0.000 0.000
0.000 4.195 0.000
0.000 0.000 5.899

***

Record 3
! BeSeBr2F GGA-PBEsol relaxed; values from VASP
! E	-13.7	eV for the cell shown
! formation energy without anion corrections	-0.0271	eV per atom
! M_tot	0.00	Bohr magnetons per cell
&SYSTEM
  ibrav = 0, nat = 5, ntyp = 4
/
ATOMIC_SPECIES
Be 9.01 Be.upf
Se 78.96 Se.upf
Br 79.90 Br.upf
F 19.00 F.upf
ATOMIC_POSITIONS angstrom
Be 0.000 0.000 0.000
Se 0.000 0.000 2.251
Br 0.000 2.292 0.000
Br 2.292 0.000 0.000
F 2.292 2.292 2.251
CELL_PARAMETERS angstrom
4.584 0.000 0.000
0.000 4.584 0.000
0.000 0.000 4.503

***

Record 4
! TaBeBrF2 GGA-PBEsol relaxed; values from VASP
! E	-25.3	eV for the cell shown
! formation energy without anion corrections	-0.6131	eV per atom
! M_tot	2.29	Bohr magnetons per cell
&SYSTEM
  ibrav = 0, nat = 5, ntyp = 4
/
ATOMIC_SPECIES
Ta 180.95 Ta.upf
Be 9.01 Be.upf
Br 79.90 Br.upf
F 19.00 F.upf
ATOMIC_POSITIONS angstrom
Ta 0.000 0.000 0.000
Be 2.060 2.060 2.656
Br 0.000 0.000 2.656
F 0.000 2.060 0.000
F 2.060 0.000 0.000
CELL_PARAMETERS angstrom
4.120 0.000 0.000
0.000 4.120 0.000
0.000 0.000 5.313

***

> Which of these has the lowest formation energy without anion corrections?

TaBeBrF2

***

> Among the records above, which one has the lowest E?

TaBeBrF2

***

> What is the formation energy without anion corrections in the third record?

-0.0271 eV per atom